! YCr2Pt (GGA-PBE, optimized geometry); values from VASP
! Offset from the most stable computed form ... 0.403 eV/atom
! Energy relative to the elements ... 300 meV per atom
! Electronic total energy ... -7.64 eV per atom
! V ... 67 Å³ per cell
&SYSTEM
  ibrav = 0, nat = 4, ntyp = 3
/
ATOMIC_SPECIES
Cr 52.00 Cr.upf
Pt 195.08 Pt.upf
Y 88.91 Y.upf
ATOMIC_POSITIONS angstrom
Cr -5.511 -24.695 -1.449
Cr -1.450 -6.499 -0.381
Pt -2.865 -12.836 -0.753
Y -4.194 -18.795 -1.103
CELL_PARAMETERS angstrom
-3.439 -7.990 -1.117
-0.538 -8.610 -1.576
-1.632 -8.530 1.218



! Nb2HAu (GGA-PBE, optimized geometry); values from VASP
! Offset from the most stable computed form ... 0.456 eV/atom
! Electronic total energy ... -6.18 eV per atom
! V ... 63 Å³ per cell
&SYSTEM
  ibrav = 0, nat = 4, ntyp = 3
/
ATOMIC_SPECIES
H 1.01 H.upf
Nb 92.91 Nb.upf
Au 196.97 Au.upf
ATOMIC_POSITIONS angstrom
H 0.000 0.000 0.000
Nb 1.580 1.580 1.580
Nb 4.739 4.739 4.739
Au 3.159 3.159 3.159
CELL_PARAMETERS angstrom
0.000 3.159 3.159
3.159 0.000 3.159
3.159 3.159 0.000



! BeCd2GeO (GGA-PBE, optimized geometry); values from VASP
! Formation energy from raw total energies ... 0.559 eV/atom
! Electronic total energy ... -2.47 eV per atom
! V ... 106 Å³ per cell
&SYSTEM
  ibrav = 0, nat = 5, ntyp = 4
/
ATOMIC_SPECIES
Be 9.01 Be.upf
Ge 72.64 Ge.upf
O 16.00 O.upf
Cd 112.41 Cd.upf
ATOMIC_POSITIONS angstrom
Be 0.000 2.045 0.000
Ge 0.000 0.000 0.000
O 2.545 2.045 2.545
Cd 0.000 0.000 2.545
Cd 2.545 0.000 0.000
CELL_PARAMETERS angstrom
5.090 0.000 0.000
0.000 4.090 0.000
0.000 0.000 5.090



! Ta2FeHg (GGA-PBE, optimized geometry); values from VASP
! Energy relative to the elements ... 308 meV per atom
! Electronic total energy ... -7.81 eV per atom
! V ... 69 Å³ per cell
&SYSTEM
  ibrav = 0, nat = 4, ntyp = 3
/
ATOMIC_SPECIES
Fe 55.84 Fe.upf
Hg 200.59 Hg.upf
Ta 180.95 Ta.upf
ATOMIC_POSITIONS angstrom
Fe -3.588 0.469 3.107
Hg -1.283 -0.848 2.559
Ta -6.952 0.908 6.021
Ta -0.346 1.864 2.523
CELL_PARAMETERS angstrom
-2.918 3.215 3.302
-4.096 -2.299 2.773
5.365 0.103 -0.976



! Pr2Ho8Cd (GGA-PBE, optimized geometry); values from VASP
! Energy relative to the elements ... -3 meV per atom
! Electronic total energy ... -4.28 eV per atom
! V ... 346 Å³ per cell
&SYSTEM
  ibrav = 0, nat = 11, ntyp = 3
/
ATOMIC_SPECIES
Pr 140.91 Pr.upf
Ho 164.93 Ho.upf
Cd 112.41 Cd.upf
ATOMIC_POSITIONS angstrom
Pr -1.103 -0.061 6.140
Pr -0.783 -3.538 5.610
Ho 0.880 -3.523 8.642
Ho -4.043 -2.433 5.457
Ho -2.293 -2.446 8.704
Ho 0.712 -0.106 9.570
Ho 0.406 -1.153 3.046
Ho 2.157 -1.166 6.292
Ho -2.767 -0.076 3.107
Ho -2.598 -3.493 2.180
Cd -1.772 1.919 0.963
CELL_PARAMETERS angstrom
-3.544 3.838 1.926
-3.989 -4.651 1.929
5.646 -2.786 7.895



! Ir2PbCl (GGA-PBE, optimized geometry); values from VASP
! Offset from the most stable computed form ... 0.586 eV/atom
! Formation energy from raw total energies ... 0.784 eV/atom
! Electronic total energy ... -5.03 eV per atom
! V ... 73 Å³ per cell
&SYSTEM
  ibrav = 0, nat = 4, ntyp = 3
/
ATOMIC_SPECIES
Pb 207.20 Pb.upf
Ir 192.22 Ir.upf
Cl 35.45 Cl.upf
ATOMIC_POSITIONS angstrom
Pb -0.585 -2.719 5.552
Ir -0.001 -0.004 0.007
Ir -1.170 -5.435 11.098
Cl -1.756 -8.157 16.657
CELL_PARAMETERS angstrom
-1.700 -2.159 8.025
-1.692 -5.020 6.624
1.051 -3.698 7.561